Computed, not measured: an optimized crystal structure of CrIrAu at the PBE-GGA level of DFT.

Structure (POSCAR):
```
CrIrAu
1.0
0.0000 2.9527 2.9527
2.9527 0.0000 2.9527
2.9527 2.9527 0.0000
Cr Ir Au
1 1 1
Direct
0.0000 0.0000 0.0000
0.7500 0.7500 0.7500
0.2500 0.2500 0.2500
```

Computed properties:
The energy above the most stable polymorph in this dataset comes out at 330 meV/atom. For the total magnetization, the calculation gives 2.13 μB per cell. The formation energy from the elements is 0.419 eV/atom.